First-principles (GGA-PBE) data for a relaxed Be2NbZn crystal, as listed in Alexandria via LeMat-Bulk.

Summary:
- formation energy (eV/atom) = -0.080
- mass density (Mg/m³) = 5.84

a b c (Å): 3.794 3.794 3.481
angles (deg): 90.00 90.00 90.00
Fractional positions:
Be1 0.000 0.500 0.000
Be2 0.500 0.000 0.000
Nb1 0.000 0.000 0.500
Zn1 0.500 0.500 0.500

First-principles (GGA-PBE) data for a relaxed Be2NbZn crystal, as listed in Alexandria via LeMat-Bulk.

Summary:
- formation energy (eV/atom) = 0.423
- mass density (Mg/m³) = 5.46

a b c (Å): 6.383 6.383 5.260
angles (deg): 90.00 90.00 90.00
Fractional positions:
Be1 0.223 0.250 0.125
Be2 0.250 0.723 0.375
Be3 0.250 0.777 0.875
Be4 0.277 0.250 0.625
Be5 0.723 0.750 0.625
Be6 0.750 0.223 0.875
Be7 0.750 0.277 0.375
Be8 0.777 0.750 0.125
Nb1 0.000 0.000 0.500
Nb2 0.000 0.500 0.750
Nb3 0.500 0.000 0.250
Nb4 0.500 0.500 0.000
Zn1 0.000 0.000 0.000
Zn2 0.000 0.500 0.250
Zn3 0.500 0.000 0.750
Zn4 0.500 0.500 0.500

First-principles (GGA-PBE) data for a relaxed BeNbZn crystal, as listed in Alexandria via LeMat-Bulk.

Summary:
- E above lowest polymorph (eV/atom) = 0.043
- formation energy (eV/atom) = -0.049
- mass density (Mg/m³) = 6.82

a b c (Å): 2.818 2.818 10.264
angles (deg): 90.00 90.00 90.00
Fractional positions:
Be1 0.000 0.000 0.000
Be2 0.500 0.500 0.500
Nb1 0.000 0.000 0.669
Nb2 0.500 0.500 0.169
Zn1 0.000 0.000 0.368
Zn2 0.500 0.500 0.868

First-principles (GGA-PBE) data for a relaxed BeNb4Zn crystal, as listed in Alexandria via LeMat-Bulk.

Summary:
- formation energy (eV/atom) = -0.081
- mass density (Mg/m³) = 7.68

a b c (Å): 6.164 6.164 5.074
angles (deg): 90.00 90.00 90.00
Fractional positions:
Be1 0.000 0.000 0.250
Be2 0.000 0.000 0.750
Nb1 0.138 0.326 0.000
Nb2 0.138 0.674 0.500
Nb3 0.326 0.138 0.500
Nb4 0.326 0.862 0.000
Nb5 0.674 0.138 0.000
Nb6 0.674 0.862 0.500
Nb7 0.862 0.326 0.500
Nb8 0.862 0.674 0.000
Zn1 0.500 0.500 0.250
Zn2 0.500 0.500 0.750

First-principles (GGA-PBE) data for a relaxed BeNb2Zn2 crystal, as listed in Alexandria via LeMat-Bulk.

Summary:
- E above lowest polymorph (eV/atom) = 0.327
- formation energy (eV/atom) = 0.474
- mass density (Mg/m³) = 6.53

a b c (Å): 3.460 3.460 13.832
angles (deg): 90.00 90.00 90.00
Fractional positions:
Be1 0.000 0.000 0.000
Be2 0.500 0.500 0.500
Nb1 0.000 0.000 0.414
Nb2 0.000 0.000 0.586
Nb3 0.500 0.500 0.086
Nb4 0.500 0.500 0.914
Zn1 0.000 0.500 0.250
Zn2 0.000 0.500 0.750
Zn3 0.500 0.000 0.250
Zn4 0.500 0.000 0.750

First-principles (GGA-PBE) data for a relaxed BeNb2Zn crystal, as listed in Alexandria via LeMat-Bulk.

Summary:
- E above lowest polymorph (eV/atom) = 0.063
- formation energy (eV/atom) = -0.017
- mass density (Mg/m³) = 7.17

a b c (Å): 3.987 3.987 3.793
angles (deg): 90.00 90.00 90.00
Fractional positions:
Be1 0.000 0.000 0.000
Nb1 0.000 0.500 0.500
Nb2 0.500 0.000 0.500
Zn1 0.500 0.500 0.000

First-principles (GGA-PBE) data for a relaxed BeNbZn crystal, as listed in Alexandria via LeMat-Bulk.

Summary:
- E above lowest polymorph (eV/atom) = 0.000
- formation energy (eV/atom) = -0.092
- mass density (Mg/m³) = 6.87

a b c (Å): 10.874 3.573 6.246
angles (deg): 90.00 90.00 90.00
Fractional positions:
Be1 0.091 0.000 0.053
Be2 0.250 0.500 0.546
Be3 0.409 0.000 0.053
Be4 0.591 0.000 0.947
Be5 0.750 0.500 0.454
Be6 0.909 0.000 0.947
Nb1 0.044 0.500 0.777
Nb2 0.250 0.500 0.130
Nb3 0.456 0.500 0.777
Nb4 0.544 0.500 0.223
Nb5 0.750 0.500 0.870
Nb6 0.956 0.500 0.223
Zn1 0.121 0.000 0.427
Zn2 0.250 0.000 0.792
Zn3 0.379 0.000 0.427
Zn4 0.621 0.000 0.573
Zn5 0.750 0.000 0.208
Zn6 0.879 0.000 0.573

First-principles (GGA-PBE) data for a relaxed Be10NbZn crystal, as listed in Alexandria via LeMat-Bulk.

Summary:
- formation energy (eV/atom) = -0.098
- mass density (Mg/m³) = 3.61

a b c (Å): 3.491 4.288 7.643
angles (deg): 90.00 90.00 90.00
Fractional positions:
Be1 0.000 0.000 0.000
Be2 0.000 0.237 0.260
Be3 0.000 0.237 0.740
Be4 0.000 0.500 0.500
Be5 0.000 0.763 0.260
Be6 0.000 0.763 0.740
Be7 0.500 0.000 0.162
Be8 0.500 0.000 0.838
Be9 0.500 0.500 0.320
Be10 0.500 0.500 0.680
Nb1 0.500 0.000 0.500
Zn1 0.500 0.500 0.000

First-principles (GGA-PBE) data for a relaxed Be2NbZn crystal, as listed in Alexandria via LeMat-Bulk.

Summary:
- formation energy (eV/atom) = 0.037
- mass density (Mg/m³) = 5.95

a b c (Å): 3.700 3.700 12.453
angles (deg): 90.00 90.00 120.00
Fractional positions:
Be1 0.000 0.000 0.211
Be2 0.000 0.000 0.789
Be3 0.333 0.667 0.456
Be4 0.333 0.667 0.877
Be5 0.667 0.333 0.123
Be6 0.667 0.333 0.544
Nb1 0.000 0.000 0.000
Nb2 0.333 0.667 0.667
Nb3 0.667 0.333 0.333
Zn1 0.000 0.000 0.500
Zn2 0.333 0.667 0.167
Zn3 0.667 0.333 0.833

First-principles (GGA-PBE) data for a relaxed Zr2BeNb2 crystal, as listed in Alexandria via LeMat-Bulk.

Summary:
- formation energy (eV/atom) = 0.247
- mass density (Mg/m³) = 6.51

a b c (Å): 6.771 6.771 4.199
angles (deg): 90.00 90.00 90.00
Fractional positions:
Zr1 0.171 0.329 0.000
Zr2 0.329 0.829 0.000
Zr3 0.671 0.171 0.000
Zr4 0.829 0.671 0.000
Be1 0.000 0.000 0.500
Be2 0.500 0.500 0.500
Nb1 0.142 0.642 0.500
Nb2 0.358 0.142 0.500
Nb3 0.642 0.858 0.500
Nb4 0.858 0.358 0.500

First-principles (GGA-PBE) data for a relaxed ZrBe17Nb crystal, as listed in Alexandria via LeMat-Bulk.

Summary:
- formation energy (eV/atom) = -0.227
- mass density (Mg/m³) = 3.23

a b c (Å): 5.619 5.619 5.619
angles (deg): 82.92 82.92 82.92
Fractional positions:
Zr1 0.000 0.000 0.000
Be1 0.008 0.008 0.500
Be2 0.008 0.500 0.008
Be3 0.162 0.661 0.661
Be4 0.318 0.318 0.820
Be5 0.318 0.820 0.318
Be6 0.373 0.660 0.953
Be7 0.373 0.953 0.660
Be8 0.500 0.008 0.008
Be9 0.563 0.563 0.563
Be10 0.660 0.373 0.953
Be11 0.660 0.953 0.373
Be12 0.661 0.162 0.661
Be13 0.661 0.661 0.162
Be14 0.757 0.757 0.757
Be15 0.820 0.318 0.318
Be16 0.953 0.373 0.660
Be17 0.953 0.660 0.373
Nb1 0.324 0.324 0.324

First-principles (GGA-PBE) data for a relaxed ZrBeNb3 crystal, as listed in Alexandria via LeMat-Bulk.

Summary:
- E above lowest polymorph (eV/atom) = 0.000
- formation energy (eV/atom) = 0.458
- mass density (Mg/m³) = 6.77

a b c (Å): 4.530 4.530 4.530
angles (deg): 90.00 90.00 90.00
Fractional positions:
Zr1 0.000 0.000 0.000
Be1 0.500 0.500 0.500
Nb1 0.000 0.500 0.500
Nb2 0.500 0.000 0.500
Nb3 0.500 0.500 0.000

Which value of formation energy does entry 11 give?
-0.227 eV/atom

Which value of formation energy does entry 6 give?
-0.017 eV/atom